--- P ---
## Sm4Y5Er3 (GGA-PBE)

Data for crystalline Sm4Y5Er3 at its relaxed geometry.

Computed properties:
As for the total magnetization: 0.000 Bohr magnetons per cell.

a = 6.1902 Å, b = 7.1482 Å, c = 8.7450 Å
α = 89.94°, β = 89.99°, γ = 89.93°
Sites, in units of the cell vectors:
Sm 0.1658 0.2505 0.1683
Sm 0.3329 0.9999 0.8343
Sm 0.6671 0.0001 0.1657
Sm 0.8342 0.7495 0.8317
Y 0.0000 0.0000 0.5000
Y 0.3318 0.4998 0.8327
Y 0.4987 0.7485 0.5001
Y 0.5013 0.2515 0.4999
Y 0.6682 0.5002 0.1673
Er 0.0000 0.5000 0.5000
Er 0.1673 0.7489 0.1686
Er 0.8327 0.2511 0.8314



--- Q ---
## Sm4Y5Er3 (GGA-PBE)

Data for crystalline Sm4Y5Er3 at its relaxed geometry.

Computed properties:
As for the total magnetization: 0.611 Bohr magnetons per cell.

a = 8.6048 Å, b = 8.6048 Å, c = 9.3347 Å
α = 114.84°, β = 114.84°, γ = 40.14°
Sites, in units of the cell vectors:
Sm 0.0835 0.0835 0.4457
Sm 0.2166 0.2166 0.8817
Sm 0.7834 0.7834 0.1183
Sm 0.9165 0.9165 0.5543
Y 0.0000 0.0000 0.0000
Y 0.3285 0.3285 0.6162
Y 0.4276 0.4276 0.2952
Y 0.5724 0.5724 0.7048
Y 0.6715 0.6715 0.3838
Er 0.2115 0.2115 0.2345
Er 0.5000 0.5000 0.0000
Er 0.7885 0.7885 0.7655



Which structure is the most stable? The one labeled P.